Here is a relaxed structure of K3TmTl2O6 from Alexandria via LeMat-Bulk. Energies are from PBE-GGA.

Its volume is 390 Å³/cell. As for the uncorrected energy: -123.2 eV for the cell shown. For the theoretical density, the calculation gives 6.739 Mg/m³.

The structure belongs to space group C2/m (No. 12); the cell edges are 5.999, 10.395 and 6.561 Å and the angles 90.00°, 107.69° and 90.00°. The distinct sites, in fractional coordinates, are K at (0.000, 0.000, 0.000), K at (0.000, 0.330, 0.000), Tm at (0.000, 0.500, 0.500), Tl at (0.000, 0.166, 0.500), O at (0.226, 0.338, 0.694) and O at (0.242, 0.000, 0.695).